No. 1
TiMnCl2: optimized geometry, PBE-GGA.

## Properties
- VASP energy (eV per atom) = -5.072
- formation energy (no corrections) (eV/atom) = 0.118
- space-group type = I-42d, No. 122
- energy relative to the lowest polymorph listed for this composition (kJ/mol of atoms) = 36.6

a b c (Å): 5.3088 5.3088 9.9517
angles (deg): 90.00 90.00 90.00
Closest atoms and distances in Å follow each position.
Fractional positions:
Ti (0.0000, 0.0000, 0.0000)  4 Cl 2.34
Ti (0.0000, 0.5000, 0.2500)  4 Cl 2.34
Ti (0.5000, 0.0000, 0.7500)  4 Cl 2.34
Ti (0.5000, 0.5000, 0.5000)  4 Cl 2.34
Mn (0.0000, 0.0000, 0.5000)  4 Cl 2.17
Mn (0.0000, 0.5000, 0.7500)  4 Cl 2.17
Mn (0.5000, 0.0000, 0.2500)  4 Cl 2.17
Mn (0.5000, 0.5000, 0.0000)  4 Cl 2.17
Cl (0.2218, 0.2500, 0.6250)  2 Mn 2.17, 2 Ti 2.34
Cl (0.2500, 0.7218, 0.8750)  2 Mn 2.17, 2 Ti 2.34
Cl (0.2500, 0.7782, 0.3750)  2 Mn 2.17, 2 Ti 2.34
Cl (0.2782, 0.2500, 0.1250)  2 Mn 2.17, 2 Ti 2.34
Cl (0.7218, 0.7500, 0.1250)  2 Mn 2.17, 2 Ti 2.34
Cl (0.7500, 0.2218, 0.3750)  2 Mn 2.17, 2 Ti 2.34
Cl (0.7500, 0.2782, 0.8750)  2 Mn 2.17, 2 Ti 2.34
Cl (0.7782, 0.7500, 0.6250)  2 Mn 2.17, 2 Ti 2.34

---

No. 2
MgMnOs2: optimized geometry, PBE-GGA.

## Properties
- VASP energy (eV per atom) = -8.132
- space-group type = P4mm, No. 99
- E_form (eV per atom) = 0.174

a b c (Å): 2.8072 2.8072 7.9369
angles (deg): 90.00 90.00 90.00
Closest atoms and distances in Å follow each position.
Fractional positions:
Mg (0.0000, 0.0000, 0.0000)  4 Mg 2.81, 4 Os 2.86, 4 Mn 3.04
Mn (0.5000, 0.5000, 0.2897)  4 Os 2.74, 4 Mn 2.81, 4 Mg 3.04
Os (0.0000, 0.0000, 0.5284)  8 Os 2.61-2.81, 4 Mn 2.74
Os (0.5000, 0.5000, 0.7412)  8 Os 2.61-2.81, 4 Mg 2.86

---

No. 3
MgReSCl2: optimized geometry, PBE-GGA.

## Properties
- VASP energy (eV per atom) = -4.077
- formation energy (no corrections) (eV/atom) = 0.296
- space-group type = P4/mmm, No. 123
- energy relative to the lowest polymorph listed for this composition (kJ/mol of atoms) = 26.5

a b c (Å): 4.5993 4.5993 5.4038
angles (deg): 90.00 90.00 90.00
Closest atoms and distances in Å follow each position.
Fractional positions:
Mg (0.0000, 0.0000, 0.0000)  4 Cl 2.30
Re (0.5000, 0.5000, 0.5000)  4 S 3.25, 8 Cl 3.55
S (0.0000, 0.0000, 0.5000)  2 Mg 2.70
Cl (0.0000, 0.5000, 0.0000)  2 Mg 2.30
Cl (0.5000, 0.0000, 0.0000)  2 Mg 2.30

---

No. 4
Al3WSe: optimized geometry, PBE-GGA.

## Properties
- VASP energy (eV per atom) = -4.205
- formation energy (no corrections) (eV/atom) = 1.328
- space-group type = Pm-3m, No. 221
- energy relative to the lowest polymorph listed for this composition (kJ/mol of atoms) = 40.0

a b c (Å): 4.6735 4.6735 4.6735
angles (deg): 90.00 90.00 90.00
Closest atoms and distances in Å follow each position.
Fractional positions:
Al (0.0000, 0.0000, 0.5000)  2 Se 2.34
Al (0.0000, 0.5000, 0.0000)  2 Se 2.34
Al (0.5000, 0.0000, 0.0000)  2 Se 2.34
W (0.5000, 0.5000, 0.5000)  12 Al 3.30
Se (0.0000, 0.0000, 0.0000)  6 Al 2.34

---

Total magnetic moment per entry: 0.00; 3.69; 5.00; 0.69 μB per formula unit
N(E_F) per entry: 4.030; 2.333; 0.882; 4.317 states/eV/f.u.